SrTb2Tl, relaxed, DFT PBE; space-group type = No. 160; calculated volume = 148 Å³ per cell; total moment = 0.672 μB per cell; ΔH_f (0 K) = 0.078 eV per atom
1.0
-4.082 2.415 -2.308
-4.765 -2.261 0.034
-4.261 2.895 4.537
Sr Tb Tl
1 2 1
direct
0.490 0.490 0.529
0.044 0.044 0.867
0.279 0.279 0.163
0.686 0.686 0.942